# 1
VASP calculation (PBE-GGA) on an optimized crystal structure of LiGaN3.

Uncorrected energy, eV/cell: -20.011
ΔE_f (raw), eV per atom: 1.9812
Total moment, μB per cell: 0.000

Structure (CIF):
```
data_LiGaN3
_cell_length_a 3.576
_cell_length_b 3.576
_cell_length_c 3.576
_cell_angle_alpha 90.00
_cell_angle_beta 90.00
_cell_angle_gamma 90.00
_space_group_name_H-M_alt 'P m -3 m'
_space_group_IT_number 221
_space_group_name_Hall '-P 4 2 3'
loop_
_atom_site_label
_atom_site_fract_x
_atom_site_fract_y
_atom_site_fract_z
_atom_site_occupancy
Li1 0.000 0.000 0.000 1
Ga1 0.500 0.500 0.500 1
N1 0.000 0.000 0.500 1
```


# 2
VASP calculation (PBE-GGA) on an optimized crystal structure of LiGaN.

Uncorrected energy, eV/cell: -214.170
ΔE_f (raw), eV per atom: -0.0399
Total moment, μB per cell: 0.000

Structure (CIF):
```
data_LiGaN
_cell_length_a 7.034
_cell_length_b 8.320
_cell_length_c 9.604
_cell_angle_alpha 90.00
_cell_angle_beta 90.00
_cell_angle_gamma 90.00
_space_group_name_H-M_alt 'F d d d'
_space_group_IT_number 70
loop_
_space_group_symop_operation_xyz
'x,y,z'
'-x,-y,-z'
'-x+1/4,-y+1/4,z'
'x+1/4,y+1/4,-z'
'x,-y+1/4,-z+1/4'
'-x,y+1/4,z+1/4'
'-x+1/4,y,-z+1/4'
'x+1/4,-y,z+1/4'
'x,y+1/2,z+1/2'
'-x,-y+1/2,-z+1/2'
'-x+1/4,-y+3/4,z+1/2'
'x+1/4,y+3/4,-z+1/2'
'x,-y+3/4,-z+3/4'
'-x,y+3/4,z+3/4'
'-x+1/4,y+1/2,-z+3/4'
'x+1/4,-y+1/2,z+3/4'
'x+1/2,y,z+1/2'
'-x+1/2,-y,-z+1/2'
'-x+3/4,-y+1/4,z+1/2'
'x+3/4,y+1/4,-z+1/2'
'x+1/2,-y+1/4,-z+3/4'
'-x+1/2,y+1/4,z+3/4'
'-x+3/4,y,-z+3/4'
'x+3/4,-y,z+3/4'
'x+1/2,y+1/2,z'
'-x+1/2,-y+1/2,-z'
'-x+3/4,-y+3/4,z'
'x+3/4,y+3/4,-z'
'x+1/2,-y+3/4,-z+1/4'
'-x+1/2,y+3/4,z+1/4'
'-x+3/4,y+1/2,-z+1/4'
'x+3/4,-y+1/2,z+1/4'
loop_
_atom_site_label
_atom_site_fract_x
_atom_site_fract_y
_atom_site_fract_z
_atom_site_occupancy
Li1 0.125 0.125 0.002 1
Ga1 0.000 0.000 0.500 1
N1 0.125 0.343 0.125 1
```